[1]
Ta3GaF: relaxed, GGA-PBEsol.

Lattice parameters (Å, degrees): 4.2481 4.2481 4.2481 90.00 90.00 90.00
With the nearest neighbours (Å) after each atom.
Space group Pm-3m (No. 221)
Inequivalent atoms, fractional coordinates:
Ta: 0.0000 0.0000 0.5000 [3 per cell]  2 F 2.12
Ga: 0.5000 0.5000 0.5000 [1 per cell]  12 Ta 3.00
F: 0.0000 0.0000 0.0000 [1 per cell]  6 Ta 2.12

- crystal system = cubic
- formation energy (no corrections) (kJ per mole of atoms) = 12.3
- DOS(E_F) (states/eV/atom) = 0.775
- magnetic moment (μB/cell) = 0.00
- E above lowest polymorph (eV per atom) = 0.000



[2]
GaTcF2: relaxed, GGA-PBEsol.

Lattice parameters (Å, degrees): 5.9261 5.9261 5.9261 90.00 90.00 90.00
With the nearest neighbours (Å) after each atom.
Space group Fm-3m (No. 225)
Inequivalent atoms, fractional coordinates:
Ga: 0.0000 0.0000 0.0000 [4 per cell]  8 F 2.57
Tc: 0.0000 0.0000 0.5000 [4 per cell]  8 F 2.57
F: 0.2500 0.2500 0.2500 [8 per cell]  4 Tc 2.57, 4 Ga 2.57

- crystal system = cubic
- formation energy (no corrections) (kJ per mole of atoms) = -33.1
- DOS(E_F) (states/eV/atom) = 0.708
- magnetic moment (μB/cell) = 14.42



[3]
GaTeF3: relaxed, GGA-PBEsol.

Lattice parameters (Å, degrees): 4.6152 4.6152 4.6152 90.00 90.00 90.00
With the nearest neighbours (Å) after each atom.
Space group Pm-3m (No. 221)
Inequivalent atoms, fractional coordinates:
Ga: 0.0000 0.0000 0.0000 [1 per cell]  12 F 3.26
Te: 0.5000 0.5000 0.5000 [1 per cell]  6 F 2.31
F: 0.0000 0.5000 0.5000 [3 per cell]  2 Te 2.31

- crystal system = cubic
- formation energy (no corrections) (kJ per mole of atoms) = -107.9
- DOS(E_F) (states/eV/atom) = 0.529
- magnetic moment (μB/cell) = 0.00



[4]
Ti2Ga2F: relaxed, GGA-PBEsol.

Lattice parameters (Å, degrees): 3.4654 3.4654 14.0799 90.00 90.00 90.00
With the nearest neighbours (Å) after each atom.
Space group I4/mmm (No. 139)
Inequivalent atoms, fractional coordinates:
Ti: 0.0000 0.5000 0.2500 [4 per cell]  4 Ti 2.45
Ga: 0.0000 0.0000 0.0846 [4 per cell]  1 Ga 2.38
F: 0.0000 0.0000 0.5000 [2 per cell]  8 Ga 2.72

- crystal system = tetragonal
- formation energy (no corrections) (kJ per mole of atoms) = -12.0
- DOS(E_F) (states/eV/atom) = 0.746
- magnetic moment (μB/cell) = 0.00



- Which value of DOS(E_F) does entry 3 give?
  0.529 states/eV/atom